(1)
{
  "formula": "ErThScNb",
  "functional": "PBE",
  "state": "relaxed",
  "cell": [[0.0000, 3.6932, 3.6932], [3.6932, 0.0000, 3.6932], [3.6932, 3.6932, 0.0000]],
  "species": ["Er", "Th", "Sc", "Nb"],
  "frac_coords": [[0.0000, 0.0000, 0.0000], [0.5000, 0.5000, 0.5000], [0.2500, 0.2500, 0.2500], [0.7500, 0.7500, 0.7500]],
  "e_tot_ry_per_atom": -0.5082,
  "vol_a3_per_cell": 101,
  "formation_energy_mev_per_atom": 181.5,
  "crystal_system": "cubic"
}

=====

(2)
{
  "formula": "ErNb4Se8",
  "functional": "PBE",
  "state": "relaxed",
  "cell": [[3.5503, 2.0498, 6.8888], [-3.5503, 2.0498, 6.8888], [0.0000, -4.0995, 6.8888]],
  "species": ["Er", "Nb", "Nb", "Nb", "Nb", "Se", "Se", "Se", "Se", "Se", "Se", "Se", "Se"],
  "frac_coords": [[0.0000, 0.0000, 0.0000], [0.0000, 0.0000, 0.5000], [0.0000, 0.5000, 0.0000], [0.5000, 0.0000, 0.0000], [0.5000, 0.5000, 0.5000], [0.2464, 0.2464, 0.2464], [0.2574, 0.2574, 0.7419], [0.2574, 0.7419, 0.2574], [0.2581, 0.7426, 0.7426], [0.7419, 0.2574, 0.2574], [0.7426, 0.2581, 0.7426], [0.7426, 0.7426, 0.2581], [0.7536, 0.7536, 0.7536]],
  "e_tot_ry_per_atom": -0.4813,
  "vol_a3_per_cell": 301,
  "e_form_raw_ev_per_atom": -0.955,
  "crystal_system": "trigonal"
}